(1)
{
  "formula": "RbGe2Pb2",
  "functional": "PBE",
  "state": "relaxed",
  "lattice": [[9.2740, 0.0000, 0.0000], [0.0000, 9.2740, 0.0000], [0.0000, 0.0000, 3.5175]],
  "species": ["Pb", "Pb", "Ge", "Ge", "Rb", "Pb", "Ge", "Ge", "Pb", "Rb"],
  "fractional_positions": [[0.1333, 0.3667, 0.0000], [0.6333, 0.1333, 0.0000], [0.3557, 0.1443, 0.5000], [0.6443, 0.8557, 0.5000], [0.0000, 0.0000, 0.0000], [0.8667, 0.6333, 0.0000], [0.8557, 0.3557, 0.5000], [0.1443, 0.6443, 0.5000], [0.3667, 0.8667, 0.0000], [0.5000, 0.5000, 0.0000]],
  "formation_energy_ev_per_atom": 0.12,
  "e_tot_ev_per_cell": -34.05,
  "magnetic_moment_mub_per_cell": 0.000
}



(2)
{
  "formula": "RbGePb",
  "functional": "PBE",
  "state": "relaxed",
  "lattice": [[3.7718, 0.0000, 0.0000], [0.0000, 3.7718, 0.0000], [-1.8859, -1.8859, 6.9676]],
  "species": ["Ge", "Rb", "Pb"],
  "fractional_positions": [[0.3086, 0.3086, 0.6172], [0.9902, 0.9902, 0.9803], [0.7012, 0.7012, 0.4025]],
  "formation_energy_ev_per_atom": 0.03,
  "e_tot_ev_per_cell": -9.20,
  "magnetic_moment_mub_per_cell": 0.000
}



(3)
{
  "formula": "RbGePb",
  "functional": "PBE",
  "state": "relaxed",
  "lattice": [[13.7080, 0.0000, 0.0000], [0.0000, 7.1308, 0.0000], [0.0000, 0.0000, 4.3978]],
  "species": ["Ge", "Ge", "Pb", "Rb", "Pb", "Rb", "Rb", "Rb", "Ge", "Pb", "Ge", "Pb"],
  "fractional_positions": [[0.5961, 0.5000, 0.0000], [0.4039, 0.5000, 0.0000], [0.0000, 0.7623, 0.0000], [0.6995, 0.0000, 0.0000], [0.0000, 0.2377, 0.0000], [0.1995, 0.5000, 0.5000], [0.3005, 0.0000, 0.0000], [0.8005, 0.5000, 0.5000], [0.0961, 0.0000, 0.5000], [0.5000, 0.7377, 0.5000], [0.9039, 0.0000, 0.5000], [0.5000, 0.2623, 0.5000]],
  "formation_energy_ev_per_atom": -0.11,
  "e_tot_ev_per_cell": -38.44,
  "magnetic_moment_mub_per_cell": 0.000
}



(4)
{
  "formula": "RbGePb2",
  "functional": "PBE",
  "state": "relaxed",
  "lattice": [[5.0777, 0.0000, 0.0000], [2.5388, 4.3974, 0.0000], [2.5388, 1.4658, 6.8246]],
  "species": ["Rb", "Pb", "Ge", "Pb"],
  "fractional_positions": [[0.4927, 0.4927, 0.5220], [0.0360, 0.0360, 0.8919], [0.6848, 0.6848, 0.9455], [0.2865, 0.2865, 0.1406]],
  "formation_energy_ev_per_atom": 0.04,
  "e_tot_ev_per_cell": -12.86,
  "magnetic_moment_mub_per_cell": 0.000
}



(5)
{
  "formula": "RbGe2Pb2",
  "functional": "PBE",
  "state": "relaxed",
  "lattice": [[5.1137, 0.0000, 0.0000], [0.0000, 5.1137, 0.0000], [2.5568, 2.5568, 6.0341]],
  "species": ["Ge", "Pb", "Ge", "Pb", "Rb"],
  "fractional_positions": [[0.3899, 0.3899, 0.2203], [0.2500, 0.7500, 0.5000], [0.6101, 0.6101, 0.7797], [0.7500, 0.2500, 0.5000], [0.0000, 0.0000, 0.0000]],
  "formation_energy_ev_per_atom": -0.01,
  "e_tot_ev_per_cell": -17.69,
  "magnetic_moment_mub_per_cell": 0.000
}



(6)
{
  "formula": "Rb2GePb",
  "functional": "PBE",
  "state": "relaxed",
  "lattice": [[13.4229, 0.0000, 0.0000], [0.0000, 13.4229, 0.0000], [6.7115, 6.7115, 2.7377]],
  "species": ["Ge", "Rb", "Rb", "Pb", "Ge", "Rb", "Pb", "Rb"],
  "fractional_positions": [[0.2500, 0.7500, 0.5000], [0.3106, 0.6250, 0.2500], [0.3750, 0.5606, 0.7500], [0.7500, 0.2500, 0.5000], [0.5000, 0.5000, 0.0000], [0.8750, 0.6894, 0.7500], [0.0000, 0.0000, 0.0000], [0.4394, 0.1250, 0.2500]],
  "formation_energy_ev_per_atom": 0.09,
  "e_tot_ev_per_cell": -19.81,
  "magnetic_moment_mub_per_cell": 0.000
}



(7)
{
  "formula": "RbGePb",
  "functional": "PBE",
  "state": "relaxed",
  "lattice": [[13.8684, 0.0000, 0.0000], [0.0000, 7.5794, 0.0000], [0.0000, 0.0000, 4.3123]],
  "species": ["Pb", "Rb", "Rb", "Pb", "Ge", "Ge", "Pb", "Ge", "Ge", "Rb", "Pb", "Rb"],
  "fractional_positions": [[0.6190, 0.0000, 0.0000], [0.3520, 0.5000, 0.0000], [0.8520, 0.0000, 0.5000], [0.8810, 0.5000, 0.5000], [0.0000, 0.6789, 0.0000], [0.0000, 0.3211, 0.0000], [0.1190, 0.5000, 0.5000], [0.5000, 0.8211, 0.5000], [0.5000, 0.1789, 0.5000], [0.6480, 0.5000, 0.0000], [0.3810, 0.0000, 0.0000], [0.1480, 0.0000, 0.5000]],
  "formation_energy_ev_per_atom": -0.06,
  "e_tot_ev_per_cell": -37.94,
  "magnetic_moment_mub_per_cell": 0.000
}



(8)
{
  "formula": "Rb2GePb",
  "functional": "PBE",
  "state": "relaxed",
  "lattice": [[0.0000, 4.2679, 4.2679], [4.2679, 0.0000, 4.2679], [4.2679, 4.2679, 0.0000]],
  "species": ["Ge", "Pb", "Rb", "Rb"],
  "fractional_positions": [[0.0000, 0.0000, 0.0000], [0.5000, 0.5000, 0.5000], [0.2500, 0.2500, 0.2500], [0.7500, 0.7500, 0.7500]],
  "formation_energy_ev_per_atom": 0.31,
  "e_tot_ev_per_cell": -9.02,
  "magnetic_moment_mub_per_cell": 0.001
}



(9)
{
  "formula": "Rb3GePb",
  "functional": "PBE",
  "state": "relaxed",
  "lattice": [[9.0619, 0.0000, 0.3243], [0.0000, 7.7589, 0.0000], [-0.8592, 0.0000, 14.4678]],
  "species": ["Rb", "Rb", "Rb", "Pb", "Rb", "Rb", "Rb", "Rb", "Rb", "Ge", "Pb", "Pb", "Ge", "Rb", "Rb", "Rb", "Ge", "Pb", "Rb", "Ge"],
  "fractional_positions": [[0.1338, 0.8195, 0.0689], [0.8662, 0.8195, 0.4311], [0.5104, 0.1883, 0.3809], [0.9130, 0.3351, 0.3448], [0.7439, 0.6405, 0.1585], [0.5104, 0.8117, 0.8809], [0.4896, 0.8117, 0.6191], [0.7439, 0.3595, 0.6585], [0.4896, 0.1883, 0.1191], [0.1285, 0.0749, 0.2948], [0.0870, 0.6649, 0.6552], [0.0870, 0.3351, 0.1552], [0.1285, 0.9251, 0.7948], [0.2561, 0.3595, 0.8415], [0.1338, 0.1805, 0.5689], [0.8662, 0.1805, 0.9311], [0.8715, 0.9251, 0.7052], [0.9130, 0.6649, 0.8448], [0.2561, 0.6405, 0.3415], [0.8715, 0.0749, 0.2052]],
  "formation_energy_ev_per_atom": -0.12,
  "e_tot_ev_per_cell": -47.26,
  "magnetic_moment_mub_per_cell": 0.000
}



(10)
{
  "formula": "Rb2Ge4Pb",
  "functional": "PBE",
  "state": "relaxed",
  "lattice": [[-4.5244, -1.5864, -3.0752], [-0.6210, -4.6076, 3.2906], [-7.8538, 1.4781, 5.5174]],
  "species": ["Rb", "Ge", "Rb", "Ge", "Ge", "Ge", "Pb"],
  "fractional_positions": [[0.6447, 0.6447, 0.7105], [0.5000, 0.0000, 0.0000], [0.3553, 0.3553, 0.2895], [0.0000, 0.5000, 0.0000], [0.8526, 0.8526, 0.2949], [0.1474, 0.1474, 0.7051], [0.0000, 0.0000, 0.0000]],
  "formation_energy_ev_per_atom": 0.59,
  "e_tot_ev_per_cell": -19.96,
  "magnetic_moment_mub_per_cell": 0.000
}



(11)
{
  "formula": "RbGe2Pb2",
  "functional": "PBE",
  "state": "relaxed",
  "lattice": [[-4.4543, 1.2396, 1.9038], [1.6663, -1.0655, 4.5924], [0.6320, 6.2871, 3.9515]],
  "species": ["Rb", "Pb", "Ge", "Ge", "Pb"],
  "fractional_positions": [[0.0000, 0.0000, 0.0000], [0.6302, 0.6302, 0.7396], [0.2500, 0.7500, 0.5000], [0.7500, 0.2500, 0.5000], [0.3698, 0.3698, 0.2604]],
  "formation_energy_ev_per_atom": 0.04,
  "e_tot_ev_per_cell": -17.44,
  "magnetic_moment_mub_per_cell": 0.000
}



(12)
{
  "formula": "RbGePb",
  "functional": "PBE",
  "state": "relaxed",
  "lattice": [[9.1121, 0.0000, -0.0645], [0.0000, 13.0682, 0.0000], [-7.0665, 0.0000, 4.0256]],
  "species": ["Ge", "Rb", "Pb", "Ge", "Ge", "Rb", "Pb", "Ge", "Rb", "Pb", "Rb", "Pb"],
  "fractional_positions": [[0.7131, 0.5644, 0.9196], [0.1976, 0.6650, 0.6990], [0.7275, 0.4071, 0.6778], [0.7131, 0.0644, 0.4196], [0.2131, 0.9356, 0.9196], [0.1976, 0.1650, 0.1990], [0.7275, 0.9071, 0.1778], [0.2131, 0.4356, 0.4196], [0.6976, 0.3350, 0.1990], [0.2275, 0.0929, 0.6778], [0.6976, 0.8350, 0.6990], [0.2275, 0.5929, 0.1778]],
  "formation_energy_ev_per_atom": -0.05,
  "e_tot_ev_per_cell": -37.83,
  "magnetic_moment_mub_per_cell": 0.000
}



(13)
{
  "formula": "RbGePb",
  "functional": "PBE",
  "state": "relaxed",
  "lattice": [[4.0336, 0.0005, 0.0013], [-0.0021, 10.2742, 2.2921], [-0.0013, 3.9210, 5.9908]],
  "species": ["Ge", "Rb", "Pb", "Ge", "Pb", "Rb"],
  "fractional_positions": [[0.8281, 0.4999, 0.8294], [0.3273, 0.2538, 0.7896], [0.8275, 0.1637, 0.3961], [0.3281, 0.4987, 0.0768], [0.3268, 0.8351, 0.5100], [0.8272, 0.7450, 0.1165]],
  "formation_energy_ev_per_atom": -0.05,
  "e_tot_ev_per_cell": -18.90,
  "magnetic_moment_mub_per_cell": 0.000
}



(14)
{
  "formula": "RbGePb",
  "functional": "PBE",
  "state": "relaxed",
  "lattice": [[4.6888, 0.0000, 0.0000], [0.0000, 6.8877, 0.0000], [0.0000, 0.0000, 7.8712]],
  "species": ["Pb", "Rb", "Pb", "Rb", "Ge", "Ge"],
  "fractional_positions": [[0.0000, 0.7651, 0.6162], [0.5000, 0.5000, 0.3008], [0.0000, 0.2349, 0.6162], [0.5000, 0.0000, 0.9547], [0.5000, 0.0000, 0.4704], [0.0000, 0.0000, 0.3044]],
  "formation_energy_ev_per_atom": -0.04,
  "e_tot_ev_per_cell": -18.85,
  "magnetic_moment_mub_per_cell": 0.000
}



(15)
{
  "formula": "Rb2GePb2",
  "functional": "PBE",
  "state": "relaxed",
  "lattice": [[-7.1925, 1.7438, 2.5071], [-1.1006, -7.4639, 2.0342], [2.2801, 1.2161, 5.6956]],
  "species": ["Rb", "Ge", "Rb", "Rb", "Pb", "Ge", "Pb", "Pb", "Pb", "Rb"],
  "fractional_positions": [[0.8229, 0.3229, 0.5000], [0.5000, 0.5000, 0.0000], [0.6771, 0.8229, 0.5000], [0.1771, 0.6771, 0.5000], [0.6427, 0.1427, 0.0000], [0.0000, 0.0000, 0.0000], [0.3573, 0.8573, 0.0000], [0.1427, 0.3573, 0.0000], [0.8573, 0.6427, 0.0000], [0.3229, 0.1771, 0.5000]],
  "formation_energy_ev_per_atom": 0.00,
  "e_tot_ev_per_cell": -27.91,
  "magnetic_moment_mub_per_cell": 0.000
}



(16)
{
  "formula": "RbGeRhPb",
  "functional": "PBE",
  "state": "relaxed",
  "lattice": [[-1.7530, 3.5135, -1.8177], [-3.9177, -1.8174, 0.2653], [-1.6954, 5.4238, 12.1186]],
  "species": ["Ge", "Pb", "Rh", "Rb", "Pb", "Ge", "Rb", "Rh"],
  "fractional_positions": [[0.2500, 0.2500, 0.0880], [0.7500, 0.2500, 0.5000], [0.7500, 0.2500, 0.0000], [0.2500, 0.2500, 0.7651], [0.2500, 0.7500, 0.5000], [0.7500, 0.7500, 0.9120], [0.7500, 0.7500, 0.2349], [0.2500, 0.7500, 0.0000]],
  "formation_energy_ev_per_atom": -0.23,
  "e_tot_ev_per_cell": -35.17,
  "magnetic_moment_mub_per_cell": 0.000
}



(17)
{
  "formula": "Rb2ScGePb",
  "functional": "PBE",
  "state": "relaxed",
  "lattice": [[-1.9035, 0.9404, -6.7397], [5.1561, -4.3679, -2.0657], [-3.4736, -4.2819, 0.3836]],
  "species": ["Pb", "Rb", "Ge", "Sc", "Rb"],
  "fractional_positions": [[0.0000, 0.0000, 0.5000], [0.0000, 0.5000, 0.0000], [0.5000, 0.5000, 0.5000], [0.0000, 0.0000, 0.0000], [0.5000, 0.0000, 0.0000]],
  "formation_energy_ev_per_atom": 0.82,
  "e_tot_ev_per_cell": -12.49,
  "magnetic_moment_mub_per_cell": 1.192
}



(18)
{
  "formula": "RbGePbSe3",
  "functional": "PBE",
  "state": "relaxed",
  "lattice": [[4.7162, 0.0000, 0.0000], [0.0000, 9.4837, 0.1469], [0.0000, -2.3714, 9.8003]],
  "species": ["Se", "Se", "Ge", "Se", "Rb", "Pb", "Pb", "Se", "Ge", "Se", "Se", "Rb"],
  "fractional_positions": [[0.7500, 0.8847, 0.1645], [0.7500, 0.1660, 0.5224], [0.7500, 0.8989, 0.4004], [0.7500, 0.4300, 0.1512], [0.2500, 0.1786, 0.2063], [0.2500, 0.6297, 0.1358], [0.7500, 0.3703, 0.8642], [0.2500, 0.5700, 0.8488], [0.2500, 0.1011, 0.5996], [0.2500, 0.8340, 0.4776], [0.2500, 0.1153, 0.8355], [0.7500, 0.8214, 0.7937]],
  "e_tot_ev_per_cell": -46.69,
  "formation_energy_uncorrected_mev_per_atom": -600,
  "magnetic_moment_mub_per_cell": 0.000
}



(19)
{
  "formula": "RbGeTe4Pb2",
  "functional": "PBE",
  "state": "relaxed",
  "lattice": [[9.2655, -0.0001, 0.1193], [-0.0066, 9.2655, 0.1193], [-4.4930, -4.4962, 6.4279]],
  "species": ["Rb", "Ge", "Te", "Rb", "Te", "Te", "Pb", "Te", "Pb", "Te", "Te", "Te", "Te", "Pb", "Ge", "Pb"],
  "fractional_positions": [[0.0000, 0.5000, 0.5000], [0.0000, 0.0000, 0.0000], [0.2632, 0.7817, 0.0224], [0.0000, 0.5000, 0.0000], [0.7395, 0.7601, 0.9831], [0.7399, 0.7605, 0.5169], [0.0000, 0.0000, 0.5000], [0.2605, 0.2399, 0.0169], [0.5000, 0.0000, 0.0000], [0.2817, 0.7632, 0.5224], [0.2601, 0.2395, 0.4831], [0.7368, 0.2183, 0.9776], [0.7183, 0.2368, 0.4776], [0.5000, 0.0000, 0.5000], [0.5000, 0.5000, 0.5000], [0.5000, 0.5000, 0.0000]],
  "e_tot_ev_per_cell": -55.81,
  "formation_energy_uncorrected_mev_per_atom": -292,
  "magnetic_moment_mub_per_cell": 0.000
}



(20)
{
  "formula": "Rb2GeTe4Pb",
  "functional": "PBE",
  "state": "relaxed",
  "lattice": [[7.1257, 0.0000, 0.0000], [3.5629, 7.6970, 0.0000], [3.5629, 0.0000, 13.5380]],
  "species": ["Rb", "Te", "Te", "Te", "Rb", "Ge", "Te", "Rb", "Ge", "Te", "Rb", "Te", "Te", "Pb", "Pb", "Te"],
  "fractional_positions": [[0.5619, 0.5000, 0.8762], [0.4958, 0.2913, 0.6152], [0.8890, 0.7087, 0.6152], [0.2129, 0.2913, 0.3848], [0.1881, 0.0000, 0.6238], [0.5000, 0.0000, 0.0000], [0.8610, 0.7913, 0.8848], [0.8119, 0.0000, 0.3762], [0.2500, 0.5000, 0.5000], [0.2542, 0.2087, 0.8848], [0.9381, 0.5000, 0.1238], [0.3477, 0.7913, 0.1152], [0.5371, 0.2087, 0.1152], [0.7500, 0.5000, 0.5000], [0.0000, 0.0000, 0.0000], [0.4023, 0.7087, 0.3848]],
  "e_tot_ev_per_cell": -53.58,
  "formation_energy_uncorrected_mev_per_atom": -495,
  "magnetic_moment_mub_per_cell": 0.000
}



(21)
{
  "formula": "RbGeTe3Pb",
  "functional": "PBE",
  "state": "relaxed",
  "lattice": [[-0.6034, 3.8131, 3.2263], [3.9490, -5.1274, 6.7986], [7.6316, 5.0756, -4.5714]],
  "species": ["Rb", "Ge", "Te", "Pb", "Pb", "Rb", "Te", "Te", "Te", "Te", "Ge", "Te"],
  "fractional_positions": [[0.2500, 0.2503, 0.2663], [0.2500, 0.1020, 0.6229], [0.7500, 0.9399, 0.1334], [0.2500, 0.6778, 0.1002], [0.7500, 0.3222, 0.8998], [0.7500, 0.7497, 0.7337], [0.7500, 0.5161, 0.2027], [0.2500, 0.8128, 0.4468], [0.2500, 0.0601, 0.8666], [0.2500, 0.4839, 0.7973], [0.7500, 0.8980, 0.3771], [0.7500, 0.1872, 0.5532]],
  "e_tot_ev_per_cell": -42.61,
  "formation_energy_uncorrected_mev_per_atom": -431,
  "magnetic_moment_mub_per_cell": 0.000
}



(22)
{
  "formula": "ReGe2Pb2",
  "functional": "PBE",
  "state": "relaxed",
  "lattice": [[-2.4090, 5.3558, 3.0964], [-5.5810, -0.4477, -3.5676], [-2.1138, -3.0863, 3.6939]],
  "species": ["Re", "Ge", "Pb", "Pb", "Ge", "Re", "Ge", "Pb", "Pb", "Ge"],
  "fractional_positions": [[0.5000, 0.5000, 0.0000], [0.1566, 0.3434, 0.0000], [0.1799, 0.6799, 0.5000], [0.8201, 0.3201, 0.5000], [0.6566, 0.1566, 0.0000], [0.0000, 0.0000, 0.0000], [0.8434, 0.6566, 0.0000], [0.3201, 0.1799, 0.5000], [0.6799, 0.8201, 0.5000], [0.3434, 0.8434, 0.0000]],
  "formation_energy_ev_per_atom": 0.49,
  "e_tot_ev_per_cell": -53.33,
  "magnetic_moment_mub_per_cell": 0.000
}



(23)
{
  "formula": "ReGe2Pb",
  "functional": "PBE",
  "state": "relaxed",
  "lattice": [[-0.7611, -2.9611, 0.8526], [0.8311, -2.4458, -1.8444], [8.4105, -2.5749, 4.4730]],
  "species": ["Pb", "Ge", "Re", "Ge"],
  "fractional_positions": [[0.0000, 0.0000, 0.0000], [0.8960, 0.8960, 0.3119], [0.5000, 0.5000, 0.5000], [0.1040, 0.1040, 0.6881]],
  "formation_energy_ev_per_atom": 0.25,
  "e_tot_ev_per_cell": -24.38,
  "magnetic_moment_mub_per_cell": 0.000
}